# Er3InBi, relaxed, DFT PBE-GGA
# Energy of formation from the pure elements ... -0.35 eV/atom
data_Er3InBi
_cell_length_a 16.059
_cell_length_b 6.413
_cell_length_c 11.128
_cell_angle_alpha 90.00
_cell_angle_beta 99.27
_cell_angle_gamma 90.00
_symmetry_space_group_name_H-M 'C 1 2/c 1'
_symmetry_Int_Tables_number 15
loop_
_symmetry_equiv_pos_as_xyz
'x,y,z'
'-x,-y,-z'
'-x,y,-z+1/2'
'x,-y,z+1/2'
'x+1/2,y+1/2,z'
'-x+1/2,-y+1/2,-z'
'-x+1/2,y+1/2,-z+1/2'
'x+1/2,-y+1/2,z+1/2'
loop_
_atom_site_label
_atom_site_fract_x
_atom_site_fract_y
_atom_site_fract_z
Er1 0.045 0.247 0.013
Er2 0.104 0.006 0.782
Er3 0.195 0.477 0.268
In1 0.158 0.233 0.534
Bi1 0.000 0.492 0.750
Bi2 0.250 0.250 0.000

# Er8In2Bi, relaxed, DFT PBE-GGA
# Energy of formation from the pure elements ... -0.24 eV/atom
data_Er8In2Bi
_cell_length_a 19.366
_cell_length_b 5.037
_cell_length_c 6.909
_cell_angle_alpha 90.00
_cell_angle_beta 102.77
_cell_angle_gamma 90.00
_symmetry_space_group_name_H-M 'C 1 2/m 1'
_symmetry_Int_Tables_number 12
loop_
_symmetry_equiv_pos_as_xyz
'x,y,z'
'-x,-y,-z'
'-x,y,-z'
'x,-y,z'
'x+1/2,y+1/2,z'
'-x+1/2,-y+1/2,-z'
'-x+1/2,y+1/2,-z'
'x+1/2,-y+1/2,z'
loop_
_atom_site_label
_atom_site_fract_x
_atom_site_fract_y
_atom_site_fract_z
Er1 0.026 0.000 0.253
Er2 0.093 0.500 0.972
Er3 0.159 0.500 0.484
Er4 0.214 0.000 0.817
In1 0.186 0.000 0.251
Bi1 0.000 0.500 0.500

# Er6InBi2, relaxed, DFT PBE-GGA
# Energy of formation from the pure elements ... -0.35 eV/atom
data_Er6InBi2
_cell_length_a 6.300
_cell_length_b 8.318
_cell_length_c 11.952
_cell_angle_alpha 90.00
_cell_angle_beta 120.80
_cell_angle_gamma 90.00
_symmetry_space_group_name_H-M 'P 1 21/c 1'
_symmetry_Int_Tables_number 14
loop_
_symmetry_equiv_pos_as_xyz
'x,y,z'
'-x,-y,-z'
'-x,y+1/2,-z+1/2'
'x,-y+1/2,z+1/2'
loop_
_atom_site_label
_atom_site_fract_x
_atom_site_fract_y
_atom_site_fract_z
Er1 0.077 0.046 0.228
Er2 0.164 0.713 0.051
Er3 0.404 0.154 0.039
In1 0.500 0.000 0.500
Bi1 0.345 0.109 0.734

# ErInBi2, relaxed, DFT PBE-GGA
# Energy of formation from the pure elements ... -0.19 eV/atom
data_ErInBi2
_cell_length_a 4.7231
_cell_length_b 4.7231
_cell_length_c 20.7045
_cell_angle_alpha 90.00
_cell_angle_beta 90.00
_cell_angle_gamma 120.00
_symmetry_space_group_name_H-M 'R 3 m'
_symmetry_Int_Tables_number 160
_symmetry_space_group_name_Hall 'R 3 -2"'
loop_
_atom_site_label
_atom_site_fract_x
_atom_site_fract_y
_atom_site_fract_z
Er1 0.0000 0.0000 0.0000
In1 0.0000 0.0000 0.1679
Bi1 0.0000 0.0000 0.4075
Bi2 0.0000 0.0000 0.5873

# Er12In3Bi, relaxed, DFT PBE-GGA
# Energy of formation from the pure elements ... -0.27 eV/atom
data_Er12In3Bi
_cell_length_a 4.812
_cell_length_b 4.812
_cell_length_c 19.231
_cell_angle_alpha 90.00
_cell_angle_beta 90.00
_cell_angle_gamma 90.00
_symmetry_space_group_name_H-M 'P 4/m m m'
_symmetry_Int_Tables_number 123
_symmetry_space_group_name_Hall '-P 4 2'
loop_
_atom_site_label
_atom_site_fract_x
_atom_site_fract_y
_atom_site_fract_z
Er1 0.000 0.000 0.000
Er2 0.000 0.000 0.250
Er3 0.000 0.000 0.500
Er4 0.000 0.500 0.125
Er5 0.000 0.500 0.374
In1 0.500 0.500 0.000
In2 0.500 0.500 0.248
Bi1 0.500 0.500 0.500

# ErInBi2, relaxed, DFT PBE-GGA
# Energy of formation from the pure elements ... -0.20 eV/atom
data_ErInBi2
_cell_length_a 4.3794
_cell_length_b 4.3794
_cell_length_c 23.2075
_cell_angle_alpha 90.00
_cell_angle_beta 90.00
_cell_angle_gamma 120.00
_symmetry_space_group_name_H-M 'R -3 m'
_symmetry_Int_Tables_number 166
_symmetry_space_group_name_Hall '-R 3 2"'
loop_
_atom_site_label
_atom_site_fract_x
_atom_site_fract_y
_atom_site_fract_z
Er1 0.0000 0.0000 0.0000
In1 0.0000 0.0000 0.5000
Bi1 0.0000 0.0000 0.2504

# ErInBi2O6, relaxed, DFT PBE-GGA
# ΔE_f (raw) ... -1.879 eV/atom
data_ErInBi2O6
_cell_length_a 5.722
_cell_length_b 6.139
_cell_length_c 10.090
_cell_angle_alpha 90.00
_cell_angle_beta 124.52
_cell_angle_gamma 90.00
_symmetry_space_group_name_H-M 'P 1 21/c 1'
_symmetry_Int_Tables_number 14
loop_
_symmetry_equiv_pos_as_xyz
'x,y,z'
'-x,-y,-z'
'-x,y+1/2,-z+1/2'
'x,-y+1/2,z+1/2'
loop_
_atom_site_label
_atom_site_fract_x
_atom_site_fract_y
_atom_site_fract_z
Er1 0.000 0.000 0.000
In1 0.500 0.000 0.500
Bi1 0.260 0.040 0.748
O1 0.117 0.051 0.253
O2 0.235 0.681 0.061
O3 0.394 0.186 0.063

# ErIn2BiTe4, relaxed, DFT PBE-GGA
# ΔE_f (raw) ... -0.593 eV/atom
data_ErIn2BiTe4
_cell_length_a 7.813
_cell_length_b 4.478
_cell_length_c 8.298
_cell_angle_alpha 90.00
_cell_angle_beta 108.14
_cell_angle_gamma 90.00
_symmetry_space_group_name_H-M 'P 1 2/m 1'
_symmetry_Int_Tables_number 10
loop_
_symmetry_equiv_pos_as_xyz
'x,y,z'
'-x,-y,-z'
'-x,y,-z'
'x,-y,z'
loop_
_atom_site_label
_atom_site_fract_x
_atom_site_fract_y
_atom_site_fract_z
Er1 0.000 0.000 0.000
In1 0.000 0.500 0.500
In2 0.500 0.000 0.500
Bi1 0.500 0.500 0.000
Te1 0.232 0.500 0.221
Te2 0.249 0.000 0.773

# Er6Bi3Ir, relaxed, DFT PBE-GGA
# Energy of formation from the pure elements ... -0.62 eV/atom
data_Er6Bi3Ir
_cell_length_a 6.475
_cell_length_b 8.421
_cell_length_c 12.545
_cell_angle_alpha 90.00
_cell_angle_beta 119.82
_cell_angle_gamma 90.00
_symmetry_space_group_name_H-M 'P 1 21/c 1'
_symmetry_Int_Tables_number 14
loop_
_symmetry_equiv_pos_as_xyz
'x,y,z'
'-x,-y,-z'
'-x,y+1/2,-z+1/2'
'x,-y+1/2,z+1/2'
loop_
_atom_site_label
_atom_site_fract_x
_atom_site_fract_y
_atom_site_fract_z
Er1 0.059 0.201 0.439
Er2 0.296 0.657 0.436
Er3 0.369 0.039 0.228
Bi1 0.155 0.117 0.738
Bi2 0.500 0.000 0.500
Ir1 0.000 0.000 0.000

# Er5Bi4Ir, relaxed, DFT PBE-GGA
# Energy of formation from the pure elements ... -0.72 eV/atom
data_Er5Bi4Ir
_cell_length_a 9.701
_cell_length_b 9.701
_cell_length_c 6.244
_cell_angle_alpha 90.00
_cell_angle_beta 90.00
_cell_angle_gamma 90.00
_symmetry_space_group_name_H-M 'I 4'
_symmetry_Int_Tables_number 79
loop_
_symmetry_equiv_pos_as_xyz
'x,y,z'
'-y,x,z'
'-x,-y,z'
'y,-x,z'
'x+1/2,y+1/2,z+1/2'
'-y+1/2,x+1/2,z+1/2'
'-x+1/2,-y+1/2,z+1/2'
'y+1/2,-x+1/2,z+1/2'
loop_
_atom_site_label
_atom_site_fract_x
_atom_site_fract_y
_atom_site_fract_z
Er1 0.000 0.000 0.000
Er2 0.094 0.274 0.373
Bi1 0.088 0.299 0.871
Ir1 0.000 0.000 0.439

# Er5Bi5Ir, relaxed, DFT PBE-GGA
# Energy of formation from the pure elements ... -0.52 eV/atom
data_Er5Bi5Ir
_cell_length_a 13.140
_cell_length_b 6.136
_cell_length_c 9.541
_cell_angle_alpha 90.00
_cell_angle_beta 117.39
_cell_angle_gamma 90.00
_symmetry_space_group_name_H-M 'C 1 2/m 1'
_symmetry_Int_Tables_number 12
loop_
_symmetry_equiv_pos_as_xyz
'x,y,z'
'-x,-y,-z'
'-x,y,-z'
'x,-y,z'
'x+1/2,y+1/2,z'
'-x+1/2,-y+1/2,-z'
'-x+1/2,y+1/2,-z'
'x+1/2,-y+1/2,z'
loop_
_atom_site_label
_atom_site_fract_x
_atom_site_fract_y
_atom_site_fract_z
Er1 0.000 0.000 0.000
Er2 0.152 0.500 0.880
Er3 0.175 0.500 0.294
Bi1 0.000 0.500 0.500
Bi2 0.115 0.000 0.777
Bi3 0.214 0.000 0.336
Ir1 0.000 0.500 0.000

# ErBiIr, relaxed, DFT PBE-GGA
# Energy of formation from the pure elements ... -0.26 eV/atom
data_ErBiIr
_cell_length_a 3.784
_cell_length_b 3.784
_cell_length_c 9.814
_cell_angle_alpha 90.00
_cell_angle_beta 90.00
_cell_angle_gamma 90.00
_symmetry_space_group_name_H-M 'I 4 m m'
_symmetry_Int_Tables_number 107
_symmetry_space_group_name_Hall 'I 4 -2'
loop_
_atom_site_label
_atom_site_fract_x
_atom_site_fract_y
_atom_site_fract_z
Er1 0.000 0.000 0.000
Bi1 0.000 0.000 0.310
Ir1 0.000 0.000 0.611

# Er4Bi2Ir, relaxed, DFT PBE-GGA
# Energy of formation from the pure elements ... -0.73 eV/atom
data_Er4Bi2Ir
_cell_length_a 7.863
_cell_length_b 12.227
_cell_length_c 4.360
_cell_angle_alpha 90.00
_cell_angle_beta 90.00
_cell_angle_gamma 90.00
_symmetry_space_group_name_H-M 'P b a m'
_symmetry_Int_Tables_number 55
loop_
_symmetry_equiv_pos_as_xyz
'x,y,z'
'-x,-y,-z'
'-x,-y,z'
'x,y,-z'
'x+1/2,-y+1/2,-z'
'-x+1/2,y+1/2,z'
'-x+1/2,y+1/2,-z'
'x+1/2,-y+1/2,z'
loop_
_atom_site_label
_atom_site_fract_x
_atom_site_fract_y
_atom_site_fract_z
Er1 0.128 0.198 0.000
Er2 0.209 0.942 0.500
Bi1 0.080 0.670 0.500
Ir1 0.000 0.000 0.000

# Er7Bi2Ir2, relaxed, DFT PBE-GGA
# Energy of formation from the pure elements ... -0.69 eV/atom
data_Er7Bi2Ir2
_cell_length_a 3.792
_cell_length_b 16.275
_cell_length_c 9.691
_cell_angle_alpha 90.00
_cell_angle_beta 90.00
_cell_angle_gamma 90.00
_symmetry_space_group_name_H-M 'I m m 2'
_symmetry_Int_Tables_number 44
loop_
_symmetry_equiv_pos_as_xyz
'x,y,z'
'-x,-y,z'
'-x,y,z'
'x,-y,z'
'x+1/2,y+1/2,z+1/2'
'-x+1/2,-y+1/2,z+1/2'
'-x+1/2,y+1/2,z+1/2'
'x+1/2,-y+1/2,z+1/2'
loop_
_atom_site_label
_atom_site_fract_x
_atom_site_fract_y
_atom_site_fract_z
Er1 0.000 0.000 0.000
Er2 0.000 0.133 0.434
Er3 0.000 0.316 0.636
Er4 0.000 0.347 0.281
Bi1 0.000 0.000 0.675
Bi2 0.000 0.500 0.769
Ir1 0.000 0.240 0.940

# Er6Bi2Ir, relaxed, DFT PBE-GGA
# Energy of formation from the pure elements ... -0.53 eV/atom
data_Er6Bi2Ir
_cell_length_a 6.452
_cell_length_b 7.860
_cell_length_c 11.958
_cell_angle_alpha 90.00
_cell_angle_beta 120.26
_cell_angle_gamma 90.00
_symmetry_space_group_name_H-M 'P 1 21/c 1'
_symmetry_Int_Tables_number 14
loop_
_symmetry_equiv_pos_as_xyz
'x,y,z'
'-x,-y,-z'
'-x,y+1/2,-z+1/2'
'x,-y+1/2,z+1/2'
loop_
_atom_site_label
_atom_site_fract_x
_atom_site_fract_y
_atom_site_fract_z
Er1 0.102 0.188 0.462
Er2 0.320 0.678 0.458
Er3 0.381 0.021 0.249
Bi1 0.148 0.114 0.747
Ir1 0.500 0.000 0.500

# Er5Bi2Ir, relaxed, DFT PBE-GGA
# Energy of formation from the pure elements ... -0.33 eV/atom
data_Er5Bi2Ir
_cell_length_a 5.529
_cell_length_b 15.547
_cell_length_c 14.703
_cell_angle_alpha 90.00
_cell_angle_beta 90.00
_cell_angle_gamma 90.00
_symmetry_space_group_name_H-M 'C m c m'
_symmetry_Int_Tables_number 63
_symmetry_space_group_name_Hall '-C 2c 2'
loop_
_atom_site_label
_atom_site_fract_x
_atom_site_fract_y
_atom_site_fract_z
Er1 0.000 0.051 0.125
Er2 0.000 0.278 0.106
Er3 0.000 0.301 0.750
Bi1 0.000 0.143 0.565
Ir1 0.000 0.174 0.250

# Er5Bi2Ir2, relaxed, DFT PBE-GGA
# Energy of formation from the pure elements ... -0.82 eV/atom
data_Er5Bi2Ir2
_cell_length_a 15.479
_cell_length_b 7.859
_cell_length_c 7.781
_cell_angle_alpha 90.00
_cell_angle_beta 90.00
_cell_angle_gamma 90.00
_symmetry_space_group_name_H-M 'C m c e'
_symmetry_Int_Tables_number 64
_symmetry_space_group_name_Hall '-C 2ac 2'
loop_
_atom_site_label
_atom_site_fract_x
_atom_site_fract_y
_atom_site_fract_z
Er1 0.000 0.000 0.000
Er2 0.115 0.163 0.339
Bi1 0.210 0.000 0.000
Ir1 0.000 0.136 0.635

# Er4BiIr2, relaxed, DFT PBE-GGA
# Energy of formation from the pure elements ... -0.62 eV/atom
data_Er4BiIr2
_cell_length_a 9.108
_cell_length_b 9.121
_cell_length_c 9.704
_cell_angle_alpha 90.00
_cell_angle_beta 90.00
_cell_angle_gamma 90.00
_symmetry_space_group_name_H-M 'I m m a'
_symmetry_Int_Tables_number 74
_symmetry_space_group_name_Hall '-I 2b 2'
loop_
_atom_site_label
_atom_site_fract_x
_atom_site_fract_y
_atom_site_fract_z
Er1 0.000 0.067 0.229
Er2 0.183 0.250 0.521
Bi1 0.000 0.250 0.874
Ir1 0.000 0.000 0.500
Ir2 0.250 0.250 0.250

# Er7Bi2Ir2, relaxed, DFT PBE-GGA
# Energy of formation from the pure elements ... -0.58 eV/atom
data_Er7Bi2Ir2
_cell_length_a 8.778
_cell_length_b 10.460
_cell_length_c 7.209
_cell_angle_alpha 90.00
_cell_angle_beta 90.00
_cell_angle_gamma 90.00
_symmetry_space_group_name_H-M 'C m m m'
_symmetry_Int_Tables_number 65
_symmetry_space_group_name_Hall '-C 2 2'
loop_
_atom_site_label
_atom_site_fract_x
_atom_site_fract_y
_atom_site_fract_z
Er1 0.000 0.000 0.000
Er2 0.000 0.500 0.227
Er3 0.250 0.250 0.234
Bi1 0.208 0.000 0.500
Ir1 0.000 0.278 0.000

# ErBiIr, relaxed, DFT PBE-GGA
# Energy of formation from the pure elements ... -0.35 eV/atom
data_ErBiIr
_cell_length_a 3.761
_cell_length_b 3.761
_cell_length_c 22.519
_cell_angle_alpha 90.00
_cell_angle_beta 90.00
_cell_angle_gamma 90.00
_symmetry_space_group_name_H-M 'I 4/m m m'
_symmetry_Int_Tables_number 139
_symmetry_space_group_name_Hall '-I 4 2'
loop_
_atom_site_label
_atom_site_fract_x
_atom_site_fract_y
_atom_site_fract_z
Er1 0.000 0.000 0.167
Bi1 0.000 0.000 0.421
Ir1 0.000 0.000 0.293

Result set for DFT total energy: -4.415; -4.409; -4.562; -3.960; -4.452; -3.970; -6.361; -3.904; -5.410; -5.436; -5.166; -6.033; -5.709; -5.910; -5.423; -5.255; -6.186; -6.310; -5.803; -6.117 eV/atom, one per record in the order listed.